The following is a DFT calculation (GGA-PBE) of a geometry-optimized LiY3Cd structure.

CIF file:
```
data_LiY3Cd
_chemical_formula_sum 'Li1 Y3 Cd1'
_space_group_name_H-M_alt 'P m -3 m'
_space_group_IT_number 221
_space_group_name_Hall '-P 4 2 3'
_cell_length_a 5.3096
_cell_length_b 5.3096
_cell_length_c 5.3096
_cell_angle_alpha 90.00
_cell_angle_beta 90.00
_cell_angle_gamma 90.00
loop_
_atom_site_label
_atom_site_type_symbol
_atom_site_fract_x
_atom_site_fract_y
_atom_site_fract_z
Li1 Li 0.0000 0.0000 0.0000
Y1 Y 0.0000 0.0000 0.5000
Cd1 Cd 0.5000 0.5000 0.5000
```

Summary:
Energy, eV per atom: -4.02
Calculated volume, Å³/cell: 149.7
Energy relative to the lowest polymorph listed for this composition, meV/atom: 535.0
ΔE_f, eV/atom: 0.425